A plane-wave DFT calculation with PBE-GGA was carried out for a relaxed structure of K2LiCrMo.

Values from the calculation:
DFT total energy = -3.32 eV per atom
Crystal system = tetragonal
Calculated formation energy = 7.973 eV/f.u.
SG = P4/mmm, No. 123

```
data_K2LiCrMo
_chemical_formula_sum 'K2 Li1 Cr1 Mo1'
_cell_length_a 5.597
_cell_length_b 5.597
_cell_length_c 5.289
_cell_angle_alpha 90.00
_cell_angle_beta 90.00
_cell_angle_gamma 90.00
_space_group_name_H-M_alt 'P 1'
_space_group_IT_number 1
_space_group_name_Hall 'P 1'
loop_
_atom_site_label
_atom_site_type_symbol
_atom_site_fract_x
_atom_site_fract_y
_atom_site_fract_z
K1 K 0.000 0.500 0.000
K2 K 0.500 0.000 0.000
Li1 Li 0.000 0.000 0.000
Cr1 Cr 0.000 0.000 0.500
Mo1 Mo 0.500 0.500 0.500
```